VASP calculation (PBE-GGA) on an optimized crystal structure of GdThIr.

abc: 6.261 4.117 4.117
angles: 120.00 90.00 90.00
Atoms (fractional coordinates):
1 Gd 0.579 0.667 0.333
2 Th 0.093 0.000 0.000
3 Ir 0.328 0.333 0.667

Properties
The total magnetization comes out at 7.68 μB/f.u. For the formation energy, the calculation gives -0.559 eV/atom. As for the space-group type: No. 156.